Record 1
DFT (PBE) results for a relaxed YMnBr crystal.

Lattice parameters (Å, degrees): 3.650 3.650 6.763 90.00 90.00 120.00
Element x y z (fractional)
Y (0.000, 0.000, 0.000)
Mn (0.333, 0.667, 0.682)
Br (0.667, 0.333, 0.307)

Results
The calculation puts the volume at 26.0 Å³ per atom. The calculation puts the raw formation energy at -0.79 eV per formula unit.


Record 2
DFT (PBE) results for a relaxed Y2Mn2Br crystal.

Lattice parameters (Å, degrees): 9.198 9.198 9.198 157.39 157.39 32.20
Element x y z (fractional)
Y (0.123, 0.123, 0.000)
Y (0.877, 0.877, 0.000)
Mn (0.250, 0.750, 0.500)
Mn (0.750, 0.250, 0.500)
Br (0.500, 0.500, 0.000)

Results
The calculation puts the volume at 23.0 Å³ per atom. The calculation puts the raw formation energy at -0.39 eV per formula unit.


Record 3
DFT (PBE) results for a relaxed YMnBr2 crystal.

Lattice parameters (Å, degrees): 3.606 4.562 6.000 90.00 90.00 90.00
Element x y z (fractional)
Y (0.000, 0.000, 0.000)
Mn (0.500, 0.000, 0.500)
Br (0.000, 0.500, 0.500)
Br (0.500, 0.500, 0.000)

Results
The calculation puts the volume at 24.7 Å³ per atom. As for the polymorph energy (0 for the lowest one): 0.363 eV/atom. The calculation puts the raw formation energy at -1.50 eV per formula unit.


Record 4
DFT (PBE) results for a relaxed YMnBr crystal.

Lattice parameters (Å, degrees): 7.041 7.040 3.423 75.95 75.91 28.14
Element x y z (fractional)
Y (0.000, 0.000, 0.000)
Mn (0.355, 0.355, 0.645)
Br (0.647, 0.647, 0.353)

Results
The calculation puts the volume at 25.8 Å³ per atom. The calculation puts the raw formation energy at -0.64 eV per formula unit.


Record 5
DFT (PBE) results for a relaxed YMnBr crystal.

Lattice parameters (Å, degrees): 4.936 4.936 4.936 60.00 60.00 60.00
Element x y z (fractional)
Y (0.000, 0.000, 0.000)
Mn (0.750, 0.750, 0.750)
Br (0.250, 0.250, 0.250)

Results
The calculation puts the volume at 28.3 Å³ per atom. The calculation puts the raw formation energy at 1.14 eV per formula unit.


Record 6
DFT (PBE) results for a relaxed YMnBr2 crystal.

Lattice parameters (Å, degrees): 8.216 8.216 8.216 153.35 145.78 43.89
Element x y z (fractional)
Y (0.000, 0.000, 0.000)
Mn (0.500, 0.500, 0.000)
Br (0.141, 0.641, 0.500)
Br (0.859, 0.359, 0.500)

Results
The calculation puts the volume at 34.9 Å³ per atom. As for the polymorph energy (0 for the lowest one): 0.170 eV/atom. The calculation puts the raw formation energy at -2.27 eV per formula unit.


Record 7
DFT (PBE) results for a relaxed YMnBr4 crystal.

Lattice parameters (Å, degrees): 6.258 6.258 6.258 60.00 60.00 60.00
Element x y z (fractional)
Y (0.000, 0.000, 0.000)
Mn (0.250, 0.250, 0.250)
Br (0.124, 0.625, 0.625)
Br (0.625, 0.124, 0.625)
Br (0.625, 0.625, 0.124)
Br (0.625, 0.625, 0.625)

Results
The calculation puts the volume at 28.9 Å³ per atom. The calculation puts the raw formation energy at 1.99 eV per formula unit.


Record 8
DFT (PBE) results for a relaxed YMnBr2 crystal.

Lattice parameters (Å, degrees): 3.570 3.570 8.749 90.00 90.00 90.00
Element x y z (fractional)
Y (0.000, 0.000, 0.000)
Mn (0.500, 0.500, 0.782)
Br (0.000, 0.000, 0.638)
Br (0.500, 0.500, 0.206)

Results
The calculation puts the volume at 27.9 Å³ per atom. As for the polymorph energy (0 for the lowest one): 0.000 eV/atom. The calculation puts the raw formation energy at -2.95 eV per formula unit.


Record 9
DFT (PBE) results for a relaxed YMnBr2 crystal.

Lattice parameters (Å, degrees): 5.220 5.220 5.220 60.00 60.00 60.00
Element x y z (fractional)
Y (0.000, 0.000, 0.000)
Mn (0.750, 0.750, 0.750)
Br (0.250, 0.250, 0.250)
Br (0.500, 0.500, 0.500)

Results
The calculation puts the volume at 25.1 Å³ per atom. As for the polymorph energy (0 for the lowest one): 0.696 eV/atom. The calculation puts the raw formation energy at -0.16 eV per formula unit.


Record 10
DFT (PBE) results for a relaxed YMnBr crystal.

Lattice parameters (Å, degrees): 4.652 4.652 3.460 90.00 90.00 120.00
Element x y z (fractional)
Y (0.000, 0.000, 0.000)
Mn (0.667, 0.333, 0.500)
Br (0.333, 0.667, 0.500)

Results
The calculation puts the volume at 21.6 Å³ per atom. The calculation puts the raw formation energy at -0.05 eV per formula unit.


Record 11
DFT (PBE) results for a relaxed YMnBr2 crystal.

Lattice parameters (Å, degrees): 6.525 6.525 6.525 143.61 143.61 52.41
Element x y z (fractional)
Y (0.000, 0.000, 0.000)
Mn (0.750, 0.250, 0.500)
Br (0.250, 0.750, 0.500)
Br (0.500, 0.500, 0.000)

Results
The calculation puts the volume at 24.3 Å³ per atom. As for the polymorph energy (0 for the lowest one): 0.466 eV/atom. The calculation puts the raw formation energy at -1.08 eV per formula unit.


Record 12
DFT (PBE) results for a relaxed YMnBr2 crystal.

Lattice parameters (Å, degrees): 9.943 9.943 9.943 22.08 22.08 22.08
Element x y z (fractional)
Y (0.000, 0.000, 0.000)
Mn (0.254, 0.254, 0.254)
Br (0.535, 0.535, 0.535)
Br (0.732, 0.732, 0.732)

Results
The calculation puts the volume at 30.4 Å³ per atom. As for the polymorph energy (0 for the lowest one): 0.019 eV/atom. The calculation puts the raw formation energy at -2.87 eV per formula unit.


Q: Which formula does entry 1 have?
A: YMnBr


Please write out number 11 again, unchanged.
DFT (PBE) results for a relaxed YMnBr2 crystal.

Lattice parameters (Å, degrees): 6.525 6.525 6.525 143.61 143.61 52.41
Element x y z (fractional)
Y (0.000, 0.000, 0.000)
Mn (0.750, 0.250, 0.500)
Br (0.250, 0.750, 0.500)
Br (0.500, 0.500, 0.000)

Results
The calculation puts the volume at 24.3 Å³ per atom. As for the polymorph energy (0 for the lowest one): 0.466 eV/atom. The calculation puts the raw formation energy at -1.08 eV per formula unit.